Below is a relaxed structure of Er6Fe2Pt, with properties calculated at the GGA-PBE level.

Cell: 8.1213 8.1213 8.1213 Å, 111.51 109.26 107.66°
Element x y z (fractional)
Er 0.0166 0.8171 0.1995
Er 0.2385 0.5424 0.3038
Er 0.2385 0.9347 0.6962
Er 0.2762 0.3164 0.5926
Er 0.2762 0.6836 0.9598
Er 0.3825 0.1829 0.1995
Er 0.6175 0.8171 0.8005
Er 0.7238 0.3164 0.0402
Er 0.7238 0.6836 0.4074
Er 0.7615 0.0653 0.3038
Er 0.7615 0.4576 0.6962
Er 0.9834 0.1829 0.8005
Fe 0.0000 0.1214 0.1214
Fe 0.0000 0.8786 0.8786
Fe 0.3898 0.3898 0.0000
Fe 0.6102 0.6102 0.0000
Pt 0.0000 0.5000 0.5000
Pt 0.5000 0.0000 0.5000

* raw total energy: -5.920 eV/atom
* formation energy from the elements: -0.326 eV per atom